DFT (GGA-PBE) results for a relaxed Sm2ZnPd5 crystal.

Properties
- DFT total energy: -5.3007 eV/atom
- DFT formation energy: -0.716 eV per atom
- Space-group type: I4mm, No. 107
- Spin magnetization: 0.0000 μB/atom
- Density of states at the Fermi level: 3.60 states/eV/f.u.

a b c (Å): 5.905 5.905 5.905
angles (deg): 116.80 116.80 95.64
Fractional coordinates of all 8 atoms:
Sm  0.000  0.500  0.500
Sm  0.500  0.000  0.500
Zn  0.144  0.144  0.000
Pd  0.490  0.490  0.000
Pd  0.529  0.529  0.547
Pd  0.529  0.982  0.000
Pd  0.982  0.529  0.000
Pd  0.982  0.982  0.453


DFT (GGA-PBE) results for a relaxed SmZn4Pd4 crystal.

Properties
- DFT total energy: -3.8946 eV/atom
- DFT formation energy: -0.496 eV per atom
- Space-group type: I4/m, No. 87
- Spin magnetization: 0.0000 μB/atom
- Density of states at the Fermi level: 2.95 states/eV/f.u.

a b c (Å): 6.232 6.232 6.232
angles (deg): 97.45 97.45 137.79
Fractional coordinates of all 9 atoms:
Sm  0.000  0.000  0.000
Zn  0.075  0.631  0.706
Zn  0.369  0.075  0.445
Zn  0.631  0.925  0.555
Zn  0.925  0.369  0.294
Pd  0.273  0.371  0.644
Pd  0.371  0.727  0.098
Pd  0.629  0.273  0.902
Pd  0.727  0.629  0.356


DFT (GGA-PBE) results for a relaxed Sm3Zn5Pd6 crystal.

Properties
- DFT total energy: -4.3574 eV/atom
- DFT formation energy: -0.666 eV per atom
- Space-group type: Pmmn, No. 59
- Spin magnetization: 0.0000 μB/atom
- Density of states at the Fermi level: 7.02 states/eV/f.u.

a b c (Å): 4.413 13.084 8.972
angles (deg): 90.00 90.00 90.00
Fractional coordinates of all 28 atoms:
Sm  0.250  0.050  0.249
Sm  0.250  0.450  0.249
Sm  0.250  0.750  0.232
Sm  0.750  0.250  0.768
Sm  0.750  0.550  0.751
Sm  0.750  0.950  0.751
Zn  0.250  0.093  0.884
Zn  0.250  0.407  0.884
Zn  0.250  0.633  0.528
Zn  0.250  0.750  0.770
Zn  0.250  0.867  0.528
Zn  0.750  0.133  0.472
Zn  0.750  0.250  0.230
Zn  0.750  0.367  0.472
Zn  0.750  0.593  0.116
Zn  0.750  0.907  0.116
Pd  0.250  0.064  0.598
Pd  0.250  0.250  0.065
Pd  0.250  0.250  0.423
Pd  0.250  0.436  0.598
Pd  0.250  0.603  0.970
Pd  0.250  0.897  0.970
Pd  0.750  0.103  0.030
Pd  0.750  0.397  0.030
Pd  0.750  0.564  0.402
Pd  0.750  0.750  0.577
Pd  0.750  0.750  0.935
Pd  0.750  0.936  0.402


DFT (GGA-PBE) results for a relaxed Sm2Zn5Pd3 crystal.

Properties
- DFT total energy: -3.7034 eV/atom
- DFT formation energy: -0.565 eV per atom
- Space-group type: Ibam, No. 72
- Spin magnetization: 0.0000 μB/atom
- Density of states at the Fermi level: 4.42 states/eV/f.u.

a b c (Å): 8.810 8.810 8.810
angles (deg): 109.47 82.32 143.16
Fractional coordinates of all 20 atoms:
Sm  0.146  0.215  0.361
Sm  0.354  0.715  0.069
Sm  0.646  0.285  0.931
Sm  0.854  0.785  0.639
Zn  0.056  0.750  0.306
Zn  0.081  0.682  0.763
Zn  0.250  0.250  0.000
Zn  0.419  0.182  0.602
Zn  0.444  0.750  0.694
Zn  0.556  0.250  0.306
Zn  0.581  0.818  0.398
Zn  0.750  0.750  0.000
Zn  0.919  0.318  0.237
Zn  0.944  0.250  0.694
Pd  0.156  0.911  0.068
Pd  0.250  0.750  0.500
Pd  0.344  0.411  0.755
Pd  0.656  0.589  0.245
Pd  0.750  0.250  0.500
Pd  0.844  0.089  0.932


DFT (GGA-PBE) results for a relaxed SmZn3Pd2 crystal.

Properties
- DFT total energy: -3.6677 eV/atom
- DFT formation energy: -0.513 eV per atom
- Space-group type: C2/m, No. 12
- Spin magnetization: 0.0000 μB/atom
- Density of states at the Fermi level: 2.64 states/eV/f.u.

a b c (Å): 7.316 7.316 8.352
angles (deg): 116.64 116.64 33.32
Fractional coordinates of all 12 atoms:
Sm  0.137  0.137  0.025
Sm  0.863  0.863  0.975
Zn  0.050  0.050  0.386
Zn  0.296  0.296  0.480
Zn  0.407  0.407  0.297
Zn  0.593  0.593  0.703
Zn  0.704  0.704  0.520
Zn  0.950  0.950  0.614
Pd  0.212  0.212  0.720
Pd  0.448  0.448  0.811
Pd  0.552  0.552  0.189
Pd  0.788  0.788  0.280


DFT (GGA-PBE) results for a relaxed SmZn2Pd6 crystal.

Properties
- DFT total energy: -4.5547 eV/atom
- DFT formation energy: -0.285 eV per atom
- Space-group type: P-31m, No. 162
- Spin magnetization: 0.0000 μB/atom
- Density of states at the Fermi level: 6.44 states/eV/f.u.

a b c (Å): 4.791 4.791 8.824
angles (deg): 90.00 90.00 120.00
Fractional coordinates of all 9 atoms:
Sm  0.000  0.000  0.000
Zn  0.333  0.667  0.500
Zn  0.667  0.333  0.500
Pd  0.000  0.342  0.736
Pd  0.000  0.658  0.264
Pd  0.342  0.000  0.736
Pd  0.342  0.342  0.264
Pd  0.658  0.000  0.264
Pd  0.658  0.658  0.736


DFT (GGA-PBE) results for a relaxed Sm6Zn5Pd crystal.

Properties
- DFT total energy: -3.7222 eV/atom
- DFT formation energy: -0.399 eV per atom
- Space-group type: Cmmm, No. 65
- Spin magnetization: 0.0000 μB/atom
- Density of states at the Fermi level: 10.97 states/eV/f.u.

a b c (Å): 8.132 8.132 7.232
angles (deg): 90.00 90.00 143.13
Fractional coordinates of all 12 atoms:
Sm  0.000  0.000  0.247
Sm  0.000  0.000  0.753
Sm  0.335  0.665  0.251
Sm  0.335  0.665  0.749
Sm  0.665  0.335  0.251
Sm  0.665  0.335  0.749
Zn  0.169  0.831  0.500
Zn  0.174  0.826  0.000
Zn  0.500  0.500  0.500
Zn  0.826  0.174  0.000
Zn  0.831  0.169  0.500
Pd  0.500  0.500  0.000


DFT (GGA-PBE) results for a relaxed SmZnPd6 crystal.

Properties
- DFT total energy: -5.1814 eV/atom
- DFT formation energy: -0.538 eV per atom
- Space-group type: P4/mmm, No. 123
- Energy above the most stable polymorph in this dataset: 0 meV/atom
- Spin magnetization: 0.0000 μB/atom
- Density of states at the Fermi level: 9.47 states/eV/f.u.

a b c (Å): 4.117 4.117 7.846
angles (deg): 90.00 90.00 90.00
Fractional coordinates of all 8 atoms:
Sm  0.000  0.000  0.000
Zn  0.000  0.000  0.500
Pd  0.000  0.500  0.270
Pd  0.000  0.500  0.730
Pd  0.500  0.000  0.270
Pd  0.500  0.000  0.730
Pd  0.500  0.500  0.000
Pd  0.500  0.500  0.500


DFT (GGA-PBE) results for a relaxed Sm2Zn16Pd crystal.

Properties
- DFT total energy: -2.1419 eV/atom
- DFT formation energy: -0.299 eV per atom
- Space-group type: R3m, No. 160
- Spin magnetization: 0.0000 μB/atom
- Density of states at the Fermi level: 6.91 states/eV/f.u.

a b c (Å): 6.820 6.820 6.820
angles (deg): 82.77 82.77 82.77
Fractional coordinates of all 19 atoms:
Sm  0.000  0.000  0.000
Sm  0.327  0.327  0.327
Zn  0.015  0.015  0.500
Zn  0.015  0.500  0.015
Zn  0.164  0.660  0.660
Zn  0.312  0.312  0.819
Zn  0.312  0.819  0.312
Zn  0.370  0.661  0.952
Zn  0.370  0.952  0.661
Zn  0.500  0.015  0.015
Zn  0.660  0.164  0.660
Zn  0.660  0.660  0.164
Zn  0.661  0.370  0.952
Zn  0.661  0.952  0.370
Zn  0.764  0.764  0.764
Zn  0.819  0.312  0.312
Zn  0.952  0.370  0.661
Zn  0.952  0.661  0.370
Pd  0.564  0.564  0.564


DFT (GGA-PBE) results for a relaxed Sm3Zn4Pd4 crystal.

Properties
- DFT total energy: -4.2709 eV/atom
- DFT formation energy: -0.632 eV per atom
- Space-group type: P-1, No. 2
- Energy above the most stable polymorph in this dataset: 46 meV/atom
- Spin magnetization: 0.0000 μB/atom
- Density of states at the Fermi level: 6.97 states/eV/f.u.

a b c (Å): 3.792 4.316 13.930
angles (deg): 98.30 97.75 90.00
Fractional coordinates of all 11 atoms:
Sm  0.000  0.000  0.000
Sm  0.147  0.641  0.291
Sm  0.853  0.359  0.709
Zn  0.255  0.258  0.508
Zn  0.402  0.906  0.806
Zn  0.598  0.094  0.194
Zn  0.745  0.742  0.492
Pd  0.308  0.813  0.620
Pd  0.452  0.450  0.901
Pd  0.548  0.550  0.099
Pd  0.692  0.187  0.380


DFT (GGA-PBE) results for a relaxed SmZn10Pd2 crystal.

Properties
- DFT total energy: -2.4407 eV/atom
- DFT formation energy: -0.299 eV per atom
- Space-group type: Fmmm, No. 69
- Spin magnetization: 0.0000 μB/atom
- Density of states at the Fermi level: 5.84 states/eV/f.u.

a b c (Å): 8.834 6.891 6.739
angles (deg): 80.80 50.35 48.85
Fractional coordinates of all 13 atoms:
Sm  0.000  0.000  0.000
Zn  0.000  0.000  0.500
Zn  0.004  0.351  0.649
Zn  0.282  0.500  0.500
Zn  0.351  0.004  0.996
Zn  0.500  0.282  0.718
Zn  0.500  0.500  0.000
Zn  0.500  0.718  0.282
Zn  0.649  0.996  0.004
Zn  0.718  0.500  0.500
Zn  0.996  0.649  0.351
Pd  0.000  0.500  0.000
Pd  0.500  0.000  0.500


DFT (GGA-PBE) results for a relaxed Sm3ZnPd2 crystal.

Properties
- DFT total energy: -4.9288 eV/atom
- DFT formation energy: -0.626 eV per atom
- Space-group type: P-3m1, No. 164
- Spin magnetization: 0.0000 μB/atom
- Density of states at the Fermi level: 3.85 states/eV/f.u.

a b c (Å): 5.097 5.097 12.463
angles (deg): 90.00 90.00 120.00
Fractional coordinates of all 12 atoms:
Sm  0.000  0.000  0.246
Sm  0.000  0.000  0.754
Sm  0.333  0.667  0.419
Sm  0.333  0.667  0.922
Sm  0.667  0.333  0.078
Sm  0.667  0.333  0.581
Zn  0.333  0.667  0.673
Zn  0.667  0.333  0.327
Pd  0.000  0.000  0.000
Pd  0.000  0.000  0.500
Pd  0.333  0.667  0.178
Pd  0.667  0.333  0.822


DFT (GGA-PBE) results for a relaxed SmZn4Pd8 crystal.

Properties
- DFT total energy: -4.5101 eV/atom
- DFT formation energy: -0.560 eV per atom
- Space-group type: I4/mmm, No. 139
- Spin magnetization: 0.0000 μB/atom
- Density of states at the Fermi level: 5.83 states/eV/f.u.

a b c (Å): 6.808 6.808 6.808
angles (deg): 98.76 98.76 134.06
Fractional coordinates of all 13 atoms:
Sm  0.000  0.000  0.000
Zn  0.000  0.000  0.500
Zn  0.000  0.500  0.000
Zn  0.500  0.000  0.000
Zn  0.500  0.500  0.500
Pd  0.000  0.342  0.342
Pd  0.000  0.658  0.658
Pd  0.277  0.500  0.777
Pd  0.342  0.000  0.342
Pd  0.500  0.277  0.777
Pd  0.500  0.723  0.223
Pd  0.658  0.000  0.658
Pd  0.723  0.500  0.223


DFT (GGA-PBE) results for a relaxed SmZn3Pd crystal.

Properties
- DFT total energy: -3.2296 eV/atom
- DFT formation energy: -0.483 eV per atom
- Space-group type: P2_1/m, No. 11
- Spin magnetization: 0.0000 μB/atom
- Density of states at the Fermi level: 1.60 states/eV/f.u.

a b c (Å): 5.516 5.477 6.065
angles (deg): 90.00 92.21 90.00
Fractional coordinates of all 10 atoms:
Sm  0.158  0.250  0.176
Sm  0.842  0.750  0.824
Zn  0.334  0.009  0.669
Zn  0.334  0.491  0.669
Zn  0.367  0.750  0.046
Zn  0.633  0.250  0.954
Zn  0.666  0.509  0.331
Zn  0.666  0.991  0.331
Pd  0.082  0.750  0.372
Pd  0.918  0.250  0.628


DFT (GGA-PBE) results for a relaxed Sm2Zn12Pd5 crystal.

Properties
- DFT total energy: -3.0954 eV/atom
- DFT formation energy: -0.428 eV per atom
- Space-group type: R-3m, No. 166
- Spin magnetization: 0.0000 μB/atom
- Density of states at the Fermi level: 9.48 states/eV/f.u.

a b c (Å): 6.864 6.864 6.864
angles (deg): 83.71 83.71 83.71
Fractional coordinates of all 19 atoms:
Sm  0.169  0.169  0.169
Sm  0.831  0.831  0.831
Zn  0.151  0.151  0.653
Zn  0.151  0.653  0.151
Zn  0.210  0.500  0.790
Zn  0.210  0.790  0.500
Zn  0.347  0.849  0.849
Zn  0.500  0.210  0.790
Zn  0.500  0.790  0.210
Zn  0.653  0.151  0.151
Zn  0.790  0.210  0.500
Zn  0.790  0.500  0.210
Zn  0.849  0.347  0.849
Zn  0.849  0.849  0.347
Pd  0.000  0.500  0.500
Pd  0.396  0.396  0.396
Pd  0.500  0.000  0.500
Pd  0.500  0.500  0.000
Pd  0.604  0.604  0.604


DFT (GGA-PBE) results for a relaxed Sm3Zn4Pd4 crystal.

Properties
- DFT total energy: -4.3165 eV/atom
- DFT formation energy: -0.678 eV per atom
- Space-group type: Immm, No. 71
- Energy above the most stable polymorph in this dataset: 0 meV/atom
- Spin magnetization: 0.0000 μB/atom
- Density of states at the Fermi level: 5.31 states/eV/f.u.

a b c (Å): 8.303 8.303 8.303
angles (deg): 151.15 127.16 61.31
Fractional coordinates of all 11 atoms:
Sm  0.000  0.000  0.000
Sm  0.371  0.871  0.500
Sm  0.629  0.129  0.500
Zn  0.022  0.327  0.695
Zn  0.367  0.673  0.695
Zn  0.633  0.327  0.305
Zn  0.978  0.673  0.305
Pd  0.217  0.217  0.000
Pd  0.306  0.500  0.806
Pd  0.694  0.500  0.194
Pd  0.783  0.783  0.000


DFT (GGA-PBE) results for a relaxed Sm12ZnPd6 crystal.

Properties
- DFT total energy: -5.0747 eV/atom
- DFT formation energy: -0.387 eV per atom
- Space-group type: R-3, No. 148
- Spin magnetization: 0.0000 μB/atom
- Density of states at the Fermi level: 22.26 states/eV/f.u.

a b c (Å): 8.526 8.526 8.526
angles (deg): 101.98 101.98 101.98
Fractional coordinates of all 19 atoms:
Sm  0.057  0.922  0.675
Sm  0.078  0.325  0.943
Sm  0.172  0.567  0.410
Sm  0.325  0.943  0.078
Sm  0.410  0.172  0.567
Sm  0.433  0.590  0.828
Sm  0.567  0.410  0.172
Sm  0.590  0.828  0.433
Sm  0.675  0.057  0.922
Sm  0.828  0.433  0.590
Sm  0.922  0.675  0.057
Sm  0.943  0.078  0.325
Zn  0.000  0.000  0.000
Pd  0.140  0.319  0.620
Pd  0.319  0.620  0.140
Pd  0.380  0.860  0.681
Pd  0.620  0.140  0.319
Pd  0.681  0.380  0.860
Pd  0.860  0.681  0.380


DFT (GGA-PBE) results for a relaxed Sm2ZnPd4 crystal.

Properties
- DFT total energy: -4.8582 eV/atom
- DFT formation energy: -0.361 eV per atom
- Space-group type: I4/mmm, No. 139
- Spin magnetization: 0.0000 μB/atom
- Density of states at the Fermi level: 4.71 states/eV/f.u.

a b c (Å): 7.971 7.971 7.971
angles (deg): 145.97 145.97 48.89
Fractional coordinates of all 7 atoms:
Sm  0.140  0.140  0.000
Sm  0.860  0.860  0.000
Zn  0.500  0.500  0.000
Pd  0.000  0.500  0.500
Pd  0.330  0.330  0.000
Pd  0.500  0.000  0.500
Pd  0.670  0.670  0.000


DFT (GGA-PBE) results for a relaxed Sm3Zn4Pd2 crystal.

Properties
- DFT total energy: -3.8622 eV/atom
- DFT formation energy: -0.569 eV per atom
- Space-group type: C2/m, No. 12
- Spin magnetization: 0.0000 μB/atom
- Density of states at the Fermi level: 5.72 states/eV/f.u.

a b c (Å): 5.831 5.831 8.565
angles (deg): 111.82 111.82 45.21
Fractional coordinates of all 9 atoms:
Sm  0.000  0.000  0.000
Sm  0.321  0.321  0.348
Sm  0.679  0.679  0.652
Zn  0.036  0.036  0.375
Zn  0.280  0.280  0.949
Zn  0.720  0.720  0.051
Zn  0.964  0.964  0.625
Pd  0.401  0.401  0.733
Pd  0.599  0.599  0.267